Density functional theory data (GGA-PBE) for crystalline Pu3Zn7Ag2 at its relaxed geometry.

a b c (Å): 9.4027 9.4027 9.4027
angles (deg): 33.80 33.80 33.80
Last column: nearest neighbours and their distance in Å.
Atoms (fractional coordinates):
Pu1 0.0000 0.0000 0.0000  6 Ag 3.16, 12 Zn 3.53
Pu2 0.1476 0.1476 0.1476  12 Zn 3.12-3.21, 3 Pu 3.32
Pu3 0.8524 0.8524 0.8524  12 Zn 3.12-3.21, 3 Pu 3.32
Zn1 0.0810 0.5856 0.5856  5 Zn 2.71-2.76, 2 Ag 2.72-2.76
Zn2 0.4144 0.4144 0.9190  5 Zn 2.71-2.76, 2 Ag 2.72-2.76
Zn3 0.4144 0.9190 0.4144  5 Zn 2.71-2.76, 2 Ag 2.72-2.76
Zn4 0.5000 0.5000 0.5000  6 Zn 2.71
Zn5 0.5856 0.0810 0.5856  5 Zn 2.71-2.76, 2 Ag 2.72-2.76
Zn6 0.5856 0.5856 0.0810  5 Zn 2.71-2.76, 2 Ag 2.72-2.76
Zn7 0.9190 0.4144 0.4144  5 Zn 2.71-2.76, 2 Ag 2.72-2.76
Ag1 0.3346 0.3346 0.3346  6 Zn 2.72-2.76
Ag2 0.6654 0.6654 0.6654  6 Zn 2.72-2.76

- theoretical density (g/cm³) = 10.18
- space-group type = No. 166
- D(E_F) (states/eV per atom) = 1.82
- crystal system = trigonal
- uncorrected energy (eV/atom) = -4.914